DFT (meta-GGA SCAN) results for a crystal of BaW2Au relaxed with PBEsol.

Structure (POSCAR):
```
BaW2Au
1.0
2.012 -2.017 0.000
2.012 2.017 0.000
0.000 0.000 9.854
Ba W Au
1 2 1
direct
0.000 0.000 0.000
0.500 0.500 0.293
0.500 0.500 0.707
0.000 0.000 0.500
```

Calculated values
E_form: 1.237 eV per atom
Mass density: 14.6 g/cm3
Magnetization: 0.0 μB/f.u.
E above lowest polymorph: 0.000 eV/f.u.
Crystal system: orthorhombic

=====

DFT (meta-GGA SCAN) results for a crystal of Ba2CuAgBi relaxed with PBEsol.

Structure (POSCAR):
```
Ba2CuAgBi
1.0
6.096 0.000 0.000
0.000 6.096 0.000
0.000 0.000 4.875
Ba Cu Ag Bi
2 1 1 1
direct
0.000 0.500 0.000
0.500 0.000 0.000
0.000 0.000 0.000
0.500 0.500 0.500
0.000 0.000 0.500
```

Calculated values
E_form: -0.198 eV per atom
Mass density: 6.0 g/cm3
Magnetization: 0.0 μB/f.u.
Crystal system: tetragonal